Entry 1:
A plane-wave DFT calculation with GGA-PBE was carried out for crystalline RbZrCl6 at its relaxed geometry.

abc: 8.237 8.237 8.237
angles: 60.00 60.00 60.00
Sites, in units of the cell vectors:
Rb1 0.000 0.000 0.000
Zr1 0.500 0.500 0.500
Cl1 0.287 0.287 0.713
Cl2 0.287 0.713 0.287
Cl3 0.287 0.713 0.713
Cl4 0.713 0.287 0.287
Cl5 0.713 0.287 0.713
Cl6 0.713 0.713 0.287

- D(E_F) (states/eV per cell) = 11.6
- density (g/cm3) = 1.64
- uncorrected formation energy (eV per atom) = -1.508

***

Entry 2:
A plane-wave DFT calculation with GGA-PBE was carried out for crystalline Rb2ZrCl6 at its relaxed geometry.

abc: 7.478 8.101 12.458
angles: 90.00 124.31 90.00
Sites, in units of the cell vectors:
Rb1 0.226 0.074 0.252
Rb2 0.226 0.426 0.752
Rb3 0.774 0.574 0.248
Rb4 0.774 0.926 0.748
Zr1 0.500 0.000 0.000
Zr2 0.500 0.500 0.500
Cl1 0.191 0.168 0.965
Cl2 0.191 0.332 0.465
Cl3 0.290 0.740 0.961
Cl4 0.290 0.760 0.461
Cl5 0.345 0.019 0.764
Cl6 0.345 0.481 0.264
Cl7 0.655 0.519 0.736
Cl8 0.655 0.981 0.236
Cl9 0.710 0.240 0.539
Cl10 0.710 0.260 0.039
Cl11 0.809 0.668 0.535
Cl12 0.809 0.832 0.035

- D(E_F) (states/eV per cell) = 0.0
- density (g/cm3) = 2.53
- uncorrected formation energy (eV per atom) = -1.953

***

Entry 3:
A plane-wave DFT calculation with GGA-PBE was carried out for crystalline Rb2ZrCl at its relaxed geometry.

abc: 6.468 6.468 6.468
angles: 60.00 60.00 60.00
Sites, in units of the cell vectors:
Rb1 0.250 0.250 0.250
Rb2 0.750 0.750 0.750
Zr1 0.000 0.000 0.000
Cl1 0.500 0.500 0.500

- D(E_F) (states/eV per cell) = 0.0
- density (g/cm3) = 2.58
- uncorrected formation energy (eV per atom) = 0.415
- E above lowest polymorph (kJ/mol of atoms) = 32.6

***

Entry 4:
A plane-wave DFT calculation with GGA-PBE was carried out for crystalline RbZr3Cl at its relaxed geometry.

abc: 5.195 5.195 5.195
angles: 90.00 90.00 90.00
Sites, in units of the cell vectors:
Rb1 0.000 0.000 0.000
Zr1 0.000 0.000 0.500
Zr2 0.000 0.500 0.000
Zr3 0.500 0.000 0.000
Cl1 0.500 0.500 0.500

- D(E_F) (states/eV per cell) = 9.2
- density (g/cm3) = 4.67
- uncorrected formation energy (eV per atom) = 2.153
- E above lowest polymorph (kJ/mol of atoms) = 153.7

***

Entry 5:
A plane-wave DFT calculation with GGA-PBE was carried out for crystalline Rb2ZrCl2 at its relaxed geometry.

abc: 7.893 7.893 5.068
angles: 90.00 90.00 90.00
Sites, in units of the cell vectors:
Rb1 0.154 0.346 0.000
Rb2 0.346 0.846 0.000
Rb3 0.654 0.154 0.000
Rb4 0.846 0.654 0.000
Zr1 0.000 0.000 0.500
Zr2 0.500 0.500 0.500
Cl1 0.174 0.674 0.500
Cl2 0.326 0.174 0.500
Cl3 0.674 0.826 0.500
Cl4 0.826 0.326 0.500

- D(E_F) (states/eV per cell) = 10.7
- density (g/cm3) = 3.50
- uncorrected formation energy (eV per atom) = -0.621
- E above lowest polymorph (kJ/mol of atoms) = 7.1

***

Entry 6:
A plane-wave DFT calculation with GGA-PBE was carried out for crystalline Rb2ZrCl2 at its relaxed geometry.

abc: 7.004 7.004 7.004
angles: 120.01 120.01 89.98
Sites, in units of the cell vectors:
Rb1 0.250 0.750 0.500
Rb2 0.750 0.250 0.500
Zr1 0.000 0.000 0.000
Cl1 0.249 0.249 0.000
Cl2 0.751 0.751 0.000

- D(E_F) (states/eV per cell) = 0.0
- density (g/cm3) = 2.28
- uncorrected formation energy (eV per atom) = -0.695
- E above lowest polymorph (kJ/mol of atoms) = 0.0

***

Entry 7:
A plane-wave DFT calculation with GGA-PBE was carried out for crystalline RbZrCl4 at its relaxed geometry.

abc: 8.171 8.171 6.098
angles: 98.04 98.04 117.00
Sites, in units of the cell vectors:
Rb1 0.141 0.859 0.750
Rb2 0.859 0.141 0.250
Zr1 0.500 0.500 0.250
Zr2 0.500 0.500 0.750
Cl1 0.188 0.308 0.906
Cl2 0.255 0.548 0.463
Cl3 0.308 0.188 0.406
Cl4 0.452 0.745 0.037
Cl5 0.548 0.255 0.963
Cl6 0.692 0.812 0.594
Cl7 0.745 0.452 0.537
Cl8 0.812 0.692 0.094

- density (g/cm3) = 3.03
- uncorrected formation energy (eV per atom) = -1.840

***

Entry 8:
A plane-wave DFT calculation with GGA-PBE was carried out for crystalline RbZr2Cl2 at its relaxed geometry.

abc: 10.008 10.008 3.308
angles: 90.00 90.00 90.00
Sites, in units of the cell vectors:
Rb1 0.000 0.000 0.000
Rb2 0.500 0.500 0.000
Zr1 0.103 0.397 0.500
Zr2 0.397 0.897 0.500
Zr3 0.603 0.103 0.500
Zr4 0.897 0.603 0.500
Cl1 0.113 0.613 0.000
Cl2 0.387 0.113 0.000
Cl3 0.613 0.887 0.000
Cl4 0.887 0.387 0.000

- D(E_F) (states/eV per cell) = 8.5
- density (g/cm3) = 3.40
- uncorrected formation energy (eV per atom) = 0.005
- E above lowest polymorph (kJ/mol of atoms) = 64.8

***

Entry 9:
A plane-wave DFT calculation with GGA-PBE was carried out for crystalline Rb3ZrCl at its relaxed geometry.

abc: 6.408 6.408 6.408
angles: 90.00 90.00 90.00
Sites, in units of the cell vectors:
Rb1 0.000 0.000 0.500
Rb2 0.000 0.500 0.000
Rb3 0.500 0.000 0.000
Zr1 0.500 0.500 0.500
Cl1 0.000 0.000 0.000

- D(E_F) (states/eV per cell) = 10.5
- density (g/cm3) = 2.42
- uncorrected formation energy (eV per atom) = 0.111
- E above lowest polymorph (kJ/mol of atoms) = 0.0

***

Entry 10:
A plane-wave DFT calculation with GGA-PBE was carried out for crystalline RbZrCl2 at its relaxed geometry.

abc: 8.857 8.857 8.857
angles: 139.35 139.35 58.84
Sites, in units of the cell vectors:
Rb1 0.000 0.000 0.000
Rb2 0.750 0.250 0.500
Zr1 0.250 0.750 0.500
Zr2 0.500 0.500 0.000
Cl1 0.238 0.625 0.113
Cl2 0.375 0.488 0.613
Cl3 0.512 0.125 0.887
Cl4 0.875 0.762 0.387

- D(E_F) (states/eV per cell) = 4.5
- density (g/cm3) = 2.82
- uncorrected formation energy (eV per atom) = -0.786
- E above lowest polymorph (kJ/mol of atoms) = 18.8

***

Entry 11:
A plane-wave DFT calculation with GGA-PBE was carried out for crystalline RbZrCl5 at its relaxed geometry.

abc: 7.518 7.518 10.175
angles: 108.55 108.55 71.02
Sites, in units of the cell vectors:
Rb1 0.039 0.961 0.750
Rb2 0.961 0.039 0.250
Zr1 0.500 0.500 0.000
Zr2 0.500 0.500 0.500
Cl1 0.164 0.690 0.003
Cl2 0.203 0.390 0.389
Cl3 0.310 0.836 0.497
Cl4 0.390 0.203 0.889
Cl5 0.438 0.562 0.750
Cl6 0.562 0.438 0.250
Cl7 0.610 0.797 0.111
Cl8 0.690 0.164 0.503
Cl9 0.797 0.610 0.611
Cl10 0.836 0.310 0.997

- D(E_F) (states/eV per cell) = 0.0
- density (g/cm3) = 2.35
- uncorrected formation energy (eV per atom) = -1.842

***

Entry 12:
A plane-wave DFT calculation with GGA-PBE was carried out for crystalline Re4Cl3 at its relaxed geometry.

abc: 4.655 4.655 8.489
angles: 90.00 90.00 120.00
Sites, in units of the cell vectors:
Re1 0.000 0.000 0.129
Re2 0.000 0.000 0.871
Re3 0.333 0.667 0.000
Re4 0.667 0.333 0.000
Cl1 0.000 0.500 0.500
Cl2 0.500 0.000 0.500
Cl3 0.500 0.500 0.500

- D(E_F) (states/eV per cell) = 10.0
- density (g/cm3) = 8.87
- uncorrected formation energy (eV per atom) = 1.554